AlBi3Au | PBE | optimized geometry

## Properties
Theoretical density = 8.95 Mg/m³
Formation energy = 0.675 eV/atom
Excess energy over the best structure of this formula in the dataset = 0.036 eV/atom

a b c (Å): 5.406 5.406 5.406
angles (deg): 90.00 90.00 90.00
Element x y z (fractional)
Al 0.000 0.000 0.000
Bi 0.000 0.000 0.500
Bi 0.000 0.500 0.000
Bi 0.500 0.000 0.000
Au 0.500 0.500 0.500



AlBi2Au2 | PBE | optimized geometry

## Properties
Theoretical density = 11.70 Mg/m³
Formation energy = -0.003 eV/atom
Excess energy over the best structure of this formula in the dataset = 0.000 eV/atom

a b c (Å): 6.910 6.910 4.987
angles (deg): 90.00 90.00 90.00
Element x y z (fractional)
Al 0.000 0.000 0.000
Al 0.500 0.500 0.000
Bi 0.176 0.324 0.500
Bi 0.324 0.824 0.500
Bi 0.676 0.176 0.500
Bi 0.824 0.676 0.500
Au 0.148 0.648 0.000
Au 0.352 0.148 0.000
Au 0.648 0.852 0.000
Au 0.852 0.352 0.000



Al3BiAu10 | PBE | optimized geometry

## Properties
Theoretical density = 13.70 Mg/m³
Formation energy = -0.173 eV/atom

a b c (Å): 9.488 9.488 8.250
angles (deg): 115.68 115.68 58.10
Element x y z (fractional)
Al 0.246 0.246 0.245
Al 0.248 0.752 0.189
Al 0.248 0.752 0.811
Al 0.752 0.248 0.189
Al 0.752 0.248 0.811
Al 0.754 0.754 0.755
Bi 0.249 0.249 0.747
Bi 0.751 0.751 0.253
Au 0.090 0.629 0.860
Au 0.105 0.105 0.341
Au 0.105 0.105 0.870
Au 0.143 0.528 0.166
Au 0.145 0.526 0.506
Au 0.157 0.843 0.500
Au 0.371 0.910 0.140
Au 0.472 0.857 0.834
Au 0.474 0.855 0.494
Au 0.499 0.499 0.326
Au 0.501 0.501 0.674
Au 0.526 0.145 0.506
Au 0.528 0.143 0.166
Au 0.629 0.090 0.860
Au 0.843 0.157 0.500
Au 0.855 0.474 0.494
Au 0.857 0.472 0.834
Au 0.895 0.895 0.130
Au 0.895 0.895 0.659
Au 0.910 0.371 0.140



AlBiAu5 | PBE | optimized geometry

## Properties
Theoretical density = 14.03 Mg/m³
Formation energy = -0.073 eV/atom

a b c (Å): 4.060 4.060 8.765
angles (deg): 90.00 90.00 90.00
Element x y z (fractional)
Al 0.000 0.000 0.000
Bi 0.500 0.500 0.500
Au 0.000 0.500 0.236
Au 0.000 0.500 0.764
Au 0.500 0.000 0.236
Au 0.500 0.000 0.764
Au 0.500 0.500 0.000



AlBiAu4 | PBE | optimized geometry

## Properties
Theoretical density = 13.84 Mg/m³
Formation energy = -0.114 eV/atom
Excess energy over the best structure of this formula in the dataset = 0.016 eV/atom

a b c (Å): 7.396 7.396 6.142
angles (deg): 109.29 109.29 51.86
Element x y z (fractional)
Al 0.043 0.043 0.324
Al 0.957 0.957 0.676
Bi 0.304 0.304 0.684
Bi 0.696 0.696 0.316
Au 0.161 0.616 0.325
Au 0.191 0.191 0.128
Au 0.281 0.719 0.000
Au 0.384 0.839 0.675
Au 0.616 0.161 0.325
Au 0.719 0.281 0.000
Au 0.809 0.809 0.872
Au 0.839 0.384 0.675



AlBi2Au3 | PBE | optimized geometry

## Properties
Theoretical density = 12.78 Mg/m³
Formation energy = -0.132 eV/atom

a b c (Å): 3.987 4.227 7.995
angles (deg): 86.78 89.49 90.00
Element x y z (fractional)
Al 0.000 0.000 0.000
Bi 0.502 0.062 0.381
Bi 0.996 0.508 0.641
Au 0.005 0.602 0.256
Au 0.492 0.974 0.771
Au 0.509 0.423 0.022